VASP calculation (PBE) on crystalline YZnRu at its relaxed geometry.

abc: 6.364 6.364 6.364
angles: 90.00 90.00 90.00
Space group F-43m (No. 216)
Symmetry-distinct sites (fractional):
Y (0.000, 0.000, 0.000)
Zn (0.000, 0.000, 0.500)
Ru (0.250, 0.250, 0.250)

Formation energy from the elements, kJ per mole of atoms: 2
Total energy, hartree per atom: -0.20757